--- a ---
Below is KH2F4 after structural relaxation, with properties calculated at the PBE level.

Cell lengths 10.940, 16.345, 4.138 Å; angles 90.00, 90.00, 90.00 degrees
Space group Fdd2 (No. 43)
Asymmetric unit:
K 0.000 0.000 0.000 [8 per cell]
H 0.000 0.163 0.500 [16 per cell]
F 0.000 0.250 0.000 [16 per cell]
F 0.001 0.102 0.500 [16 per cell]


--- b ---
Below is KH2F4 after structural relaxation, with properties calculated at the PBE level.

Cell lengths 8.578, 8.578, 5.155 Å; angles 90.00, 90.00, 90.00 degrees
Space group I-42d (No. 122)
Asymmetric unit:
K 0.000 0.000 0.000 [4 per cell]
H 0.118 0.250 0.625 [8 per cell]
F 0.110 0.220 0.409 [16 per cell]


Which structure loses on stability? b does.


--- a ---
Below is KHN2F after structural relaxation, with properties calculated at the PBE level.

Cell lengths 3.295, 3.295, 5.970 Å; angles 90.00, 90.00, 90.00 degrees
Space group P4/mmm (No. 123)
Asymmetric unit:
K 0.000 0.000 0.000 [1 per cell]
H 0.500 0.500 0.500 [1 per cell]
N 0.000 0.500 0.500 [2 per cell]
F 0.500 0.500 0.000 [1 per cell]


--- b ---
Below is KHN2F after structural relaxation, with properties calculated at the PBE level.

Cell lengths 6.094, 6.094, 4.781 Å; angles 90.00, 90.00, 90.00 degrees
Space group P4/mmm (No. 123)
Asymmetric unit:
K 0.000 0.000 0.000 [1 per cell]
H 0.500 0.500 0.500 [1 per cell]
N 0.000 0.500 0.000 [2 per cell]
F 0.000 0.000 0.500 [1 per cell]


Which structure loses on stability? b does.


--- a ---
Below is KNaHF after structural relaxation, with properties calculated at the PBE level.

Cell lengths 6.303, 6.303, 6.303 Å; angles 90.00, 90.00, 90.00 degrees
Space group F-43m (No. 216)
Asymmetric unit:
K 0.000 0.000 0.000 [4 per cell]
Na 0.000 0.000 0.500 [4 per cell]
H 0.250 0.250 0.250 [4 per cell]
F 0.250 0.250 0.750 [4 per cell]


--- b ---
Below is KNaHF after structural relaxation, with properties calculated at the PBE level.

Cell lengths 3.6251, 3.6251, 18.0342 Å; angles 90.00, 90.00, 120.00 degrees
Space group R3m (No. 160, hexagonal axes)
Asymmetric unit:
K 0.0000 0.0000 0.0000 [3 per cell]
Na 0.0000 0.0000 0.4957 [3 per cell]
H 0.0000 0.0000 0.2360 [3 per cell]
F 0.0000 0.0000 0.7561 [3 per cell]


Which structure loses on stability? a does.


--- a ---
Below is LaHF3 after structural relaxation, with properties calculated at the PBE level.

Cell lengths 4.686, 4.686, 4.686 Å; angles 90.00, 90.00, 90.00 degrees
Space group Pm-3m (No. 221)
Asymmetric unit:
La 0.000 0.000 0.000 [1 per cell]
H 0.500 0.500 0.500 [1 per cell]
F 0.000 0.000 0.500 [3 per cell]


--- b ---
Below is LaHF3 after structural relaxation, with properties calculated at the PBE level.

Cell lengths 3.806, 3.806, 3.806 Å; angles 90.00, 90.00, 90.00 degrees
Space group Pm-3m (No. 221)
Asymmetric unit:
La 0.000 0.000 0.000 [1 per cell]
H 0.500 0.500 0.500 [1 per cell]
F 0.000 0.500 0.500 [3 per cell]


Which structure loses on stability? b does.